The following is a PBE-GGA calculation of a relaxed structure of NaTm4PaS8, from Alexandria.

```
NaTm4PaS8
1.0
3.992 2.305 6.614
-3.992 2.305 6.614
0.000 -4.609 6.614
Na Tm Pa S
1 4 1 8
Cartesian
0.000 0.000 0.000
-2.055 -1.186 9.126
0.000 0.000 5.061
2.055 -1.186 9.126
0.000 2.372 9.126
0.000 0.000 12.496
0.000 -2.193 10.703
-1.899 1.097 10.703
0.000 0.000 7.669
-1.825 -1.054 14.188
1.899 1.097 10.703
0.000 0.000 17.175
1.825 -1.054 14.188
0.000 2.107 14.188
```

Computed properties:
**Formation energy without anion corrections**: -25.366 eV/f.u.